A:
{"formula": "TlSe2SBr", "functional": "PBE", "state": "optimized geometry", "lattice_angstrom": [[5.5222, 0.0000, 0.0000], [0.0000, 5.5222, 0.0000], [0.0000, 0.0000, 5.6750]], "species": ["S", "Tl", "Se", "Se", "Br"], "fractional_positions": [[0.5000, 0.5000, 0.5000], [0.0000, 0.0000, 0.0000], [0.0000, 0.5000, 0.0000], [0.5000, 0.0000, 0.0000], [0.0000, 0.0000, 0.5000]], "vol_a3_per_atom": 34.6}

B:
{"formula": "TlSe2SBr", "functional": "PBE", "state": "optimized geometry", "lattice_angstrom": [[-0.6238, 4.2882, 2.4360], [-4.9298, -0.4720, -0.4314], [-0.1537, -2.6954, 4.7055]], "species": ["S", "Tl", "Se", "Se", "Br"], "fractional_positions": [[0.0000, 0.0000, 0.0000], [0.5000, 0.5000, 0.5000], [0.0000, 0.5000, 0.0000], [0.5000, 0.0000, 0.0000], [0.0000, 0.0000, 0.5000]], "vol_a3_per_atom": 26.8}

The least stable of the structures above is A, whereas B is the most stable.